1.
PBE AcTlBi2, optimized geometry; energy of formation = -0.445 eV per atom; space-group type = P4/mmm, No. 123; polymorph energy (0 for the lowest one) = 62 meV/atom; volume = 34.95 A^3/atom; DOS(E_F) = 3.152 states/eV/f.u.
1.0
-0.2413 3.4147 -2.9057
-3.7963 1.3926 1.9519
3.6843 3.9562 4.3433
Ac Bi Tl
1 2 1
Direct
0.5000 0.5000 0.5000
0.0000 0.0000 0.7397
0.0000 0.0000 0.2603
0.5000 0.5000 0.0000

---

2.
PBE Ca2PrHg6, optimized geometry; energy of formation = -0.443 eV per atom; space-group type = P6/mmm, No. 191; volume = 25.97 A^3/atom; DOS(E_F) = 4.693 states/eV/f.u.
1.0
3.5452 0.0000 0.0000
0.0000 7.5564 -4.3627
0.0000 0.0000 8.7254
Ca Hg Pr
2 6 1
Direct
0.0000 0.6667 0.3333
0.0000 0.3333 0.6667
0.5000 0.0000 0.6646
0.5000 0.6646 0.0000
0.5000 0.6646 0.6646
0.5000 0.0000 0.3354
0.5000 0.3354 0.0000
0.5000 0.3354 0.3354
0.0000 0.0000 0.0000

---

3.
PBE Rb2MnAs2S6, optimized geometry; space-group type = C2/m, No. 12; total DFT energy (no corrections) = -4.593 eV/atom; volume = 28.13 A^3/atom; DOS(E_F) = 1.917 states/eV/f.u.
1.0
6.8292 0.0000 0.0000
-3.4146 6.7026 1.0969
0.0000 -2.6678 6.3235
S Rb As Mn
6 2 2 1
Direct
0.6563 0.8766 0.2460
0.3437 0.1234 0.7540
0.8163 0.6325 0.7018
0.7796 0.1234 0.7540
0.1837 0.3675 0.2982
0.2204 0.8766 0.2460
0.2872 0.5743 0.8087
0.7128 0.4257 0.1913
0.0222 0.0444 0.1993
0.9778 0.9556 0.8007
0.5000 0.0000 0.5000

---

4.
PBE Re3BRu, optimized geometry; energy of formation = 3.071 eV per atom; space-group type = Pm-3m, No. 221; polymorph energy (0 for the lowest one) = 3002 meV/atom; volume = 20.23 A^3/atom; DOS(E_F) = 5.249 states/eV/f.u.
1.0
-3.7440 1.0149 -2.5802
2.5644 -0.3812 -3.8710
-1.0544 -4.5310 -0.2523
Re Ru B
3 1 1
Direct
0.5000 0.0000 0.0000
0.0000 0.0000 0.5000
0.0000 0.5000 0.0000
0.0000 0.0000 0.0000
0.5000 0.5000 0.5000

---

5.
PBE AlIrC2, optimized geometry; energy of formation = 0.529 eV per atom; space-group type = I-42d, No. 122; volume = 12.56 A^3/atom; DOS(E_F) = 1.547 states/eV/f.u.
1.0
4.6048 0.0000 0.0000
0.0000 4.6048 0.0000
2.3024 2.3024 4.7395
C Ir Al
4 2 2
Direct
0.6383 0.1250 0.2500
0.8750 0.8883 0.7500
0.1117 0.6250 0.2500
0.3750 0.3617 0.7500
0.7500 0.2500 0.5000
0.0000 0.0000 0.0000
0.2500 0.7500 0.5000
0.5000 0.5000 0.0000

---

6.
PBE TbDy3Rh8, optimized geometry; energy of formation = -0.720 eV per atom; space-group type = P3m1, No. 156; volume = 17.93 A^3/atom; DOS(E_F) = 7.129 states/eV/f.u.
1.0
5.3356 0.0000 0.0000
-2.6678 4.6207 0.0000
0.0000 0.0000 8.7291
Rh Dy Tb
8 3 1
Direct
0.1644 0.8356 0.2497
0.1644 0.3289 0.2497
0.3333 0.6667 0.4999
0.5022 0.0045 0.7504
0.5022 0.4978 0.7504
0.9955 0.4978 0.7504
0.3333 0.6667 0.0000
0.6711 0.8356 0.2497
0.6667 0.3333 0.0667
0.0000 0.0000 0.9334
0.6667 0.3333 0.4331
0.0000 0.0000 0.5668

---

Q: Which of these has the lowest DOS(E_F)?
A: AlIrC2